{
  "formula": "PrCuH",
  "functional": "PBE",
  "state": "relaxed",
  "e_above_lowest_polymorph_mev_per_atom": 70.6,
  "lattice_angstrom": [[3.591, 0.000, 0.000], [0.000, 3.591, 0.000], [0.000, 0.000, 8.825]],
  "species": ["Pr", "Pr", "Cu", "Cu", "H", "H"],
  "fractional_positions": [[0.000, 0.000, 0.000], [0.500, 0.500, 0.500], [0.000, 0.000, 0.676], [0.500, 0.500, 0.176], [0.000, 0.000, 0.481], [0.500, 0.500, 0.981]]
}

---

{
  "formula": "Ce2URu3",
  "functional": "PBE",
  "state": "relaxed",
  "e_above_lowest_polymorph_mev_per_atom": 191.2,
  "ef_ev_per_atom": -0.25,
  "lattice_angstrom": [[6.036, -4.030, 0.000], [6.036, 4.030, 0.000], [0.000, 0.000, 5.555]],
  "species": ["Ce", "Ce", "Ce", "Ce", "U", "U", "Ru", "Ru", "Ru", "Ru", "Ru", "Ru"],
  "fractional_positions": [[0.017, 0.665, 0.750], [0.335, 0.983, 0.750], [0.665, 0.017, 0.250], [0.983, 0.335, 0.250], [0.365, 0.635, 0.250], [0.635, 0.365, 0.750], [0.079, 0.921, 0.250], [0.339, 0.339, 0.000], [0.339, 0.339, 0.500], [0.661, 0.661, 0.000], [0.661, 0.661, 0.500], [0.921, 0.079, 0.750]]
}

---

{
  "formula": "BaNaCd2In2",
  "functional": "PBE",
  "state": "relaxed",
  "ef_ev_per_atom": -0.27,
  "lattice_angstrom": [[5.062, 0.000, 0.000], [-2.531, 4.384, 0.000], [0.000, 0.000, 8.146]],
  "species": ["Ba", "Na", "Cd", "Cd", "In", "In"],
  "fractional_positions": [[0.000, 0.000, 0.000], [0.000, 0.000, 0.500], [0.333, 0.667, 0.695], [0.667, 0.333, 0.305], [0.333, 0.667, 0.294], [0.667, 0.333, 0.706]]
}

---

Number 1: calculated density 6.0 g/cm3. Number 2: calculated density 10.1 g/cm3. Number 3: calculated density 5.6 g/cm3.